Record 1
The following is a DFT calculation (GGA-PBE) of an optimized crystal structure of Cu8Pt6Rh.

abc: 6.567 6.567 6.567
angles: 65.65 65.65 65.65
Atoms (fractional coordinates):
Cu 0.117 0.427 0.831
Cu 0.169 0.883 0.573
Cu 0.248 0.248 0.248
Cu 0.427 0.831 0.117
Cu 0.573 0.169 0.883
Cu 0.752 0.752 0.752
Cu 0.831 0.117 0.427
Cu 0.883 0.573 0.169
Pt 0.092 0.671 0.378
Pt 0.329 0.622 0.908
Pt 0.378 0.092 0.671
Pt 0.622 0.908 0.329
Pt 0.671 0.378 0.092
Pt 0.908 0.329 0.622
Rh 0.000 0.000 0.000

Output
Formation enthalpy at 0 K = 0.1071 eV/atom

---

Record 2
The following is a DFT calculation (GGA-PBE) of an optimized crystal structure of Pm5Y3Sc2.

abc: 9.358 9.363 9.514
angles: 108.54 108.49 110.19
Atoms (fractional coordinates):
Pm 0.016 0.484 0.250
Pm 0.123 0.895 0.276
Pm 0.220 0.280 0.252
Pm 0.395 0.624 0.777
Pm 0.475 0.025 0.750
Pm 0.525 0.975 0.250
Pm 0.605 0.376 0.223
Pm 0.780 0.720 0.748
Pm 0.877 0.105 0.724
Pm 0.984 0.516 0.750
Y 0.217 0.968 0.950
Y 0.278 0.222 0.749
Y 0.468 0.717 0.450
Y 0.532 0.283 0.550
Y 0.722 0.778 0.251
Y 0.783 0.032 0.050
Sc 0.013 0.777 0.552
Sc 0.277 0.513 0.052
Sc 0.723 0.487 0.948
Sc 0.987 0.223 0.448

Output
Formation enthalpy at 0 K = 0.1586 eV/atom

---

Record 3
The following is a DFT calculation (GGA-PBE) of an optimized crystal structure of Tl2BiPbSe.

abc: 5.926 5.926 5.972
angles: 90.00 90.00 90.00
Atoms (fractional coordinates):
Tl 0.000 0.500 0.000
Tl 0.500 0.000 0.000
Bi 0.000 0.000 0.500
Pb 0.000 0.000 0.000
Se 0.500 0.500 0.500

Output
Raw formation energy = 497 meV per atom

---

Record 4
The following is a DFT calculation (GGA-PBE) of an optimized crystal structure of YTh4Sc7.

abc: 6.368 6.368 12.026
angles: 113.93 113.93 51.81
Atoms (fractional coordinates):
Y 0.000 0.000 0.000
Th 0.150 0.150 0.772
Th 0.408 0.408 0.705
Th 0.592 0.592 0.295
Th 0.850 0.850 0.228
Sc 0.128 0.128 0.487
Sc 0.293 0.293 0.084
Sc 0.334 0.334 0.374
Sc 0.500 0.500 0.000
Sc 0.666 0.666 0.626
Sc 0.707 0.707 0.916
Sc 0.872 0.872 0.513

Output
Formation enthalpy at 0 K = 0.2724 eV/atom

---

Record 5
The following is a DFT calculation (GGA-PBE) of an optimized crystal structure of Al2PBr.

abc: 6.108 6.108 6.108
angles: 149.85 136.60 53.76
Atoms (fractional coordinates):
Al 0.000 0.000 0.000
Al 0.764 0.264 0.500
P 0.586 0.586 0.000
Br 0.309 0.809 0.500

Output
Raw formation energy = 103 meV per atom
Distance to the lowest polymorph of the same formula = 366 meV/atom

---

Record 6
The following is a DFT calculation (GGA-PBE) of an optimized crystal structure of CuOsRh2.

abc: 2.715 2.715 7.485
angles: 90.00 90.00 90.00
Atoms (fractional coordinates):
Cu 0.000 0.000 0.000
Os 0.500 0.500 0.247
Rh 0.000 0.000 0.493
Rh 0.500 0.500 0.757

Output
Distance to the lowest polymorph of the same formula = 154 meV/atom
Formation enthalpy at 0 K = 0.1769 eV/atom

---

| no. | total magnetic moment (μB/atom) | DOS(E_F) (states/eV/atom) |
| --- | --- | --- |
| 1 | 0.000 | 0.9602 |
| 2 | 0.000 | 1.6989 |
| 3 | 0.000 | 0.4528 |
| 4 | 0.015 | 1.6415 |
| 5 | 0.000 | 0.3299 |
| 6 | 0.000 | 1.4356 |